A geometry-optimized HfMgTe structure, computed with GGA-PBE.

Calculated values
The value obtained for the raw formation energy is -0.29 eV per atom.

abc: 3.6467 3.6467 11.1532
angles: 90.00 90.00 90.00
Last column: nearest neighbours and their distance in Å.
Space group P4/nmm (No. 129, origin choice 2)
Unique sites:
Hf1 0.2500 0.2500 0.2474 [2 per cell]  4 Te 2.90, 4 Mg 3.21
Mg1 0.2500 0.2500 0.9243 [2 per cell]  4 Mg 3.08, 4 Hf 3.21, 1 Te 3.25
Te1 0.2500 0.2500 0.6332 [2 per cell]  4 Hf 2.90, 1 Mg 3.25